Entry 1:
The following is a PBE calculation of LiVSiIr2 after structural relaxation, from the Alexandria database.

Cell and atoms, written as POSCAR:
```
LiVSiIr2
1.0
4.545 0.000 0.000
0.000 4.545 0.000
0.000 0.000 4.562
Li V Si Ir
1 1 1 2
Cartesian
0.000 0.000 0.000
2.272 2.272 2.281
2.272 2.272 0.000
0.000 2.272 2.281
2.272 0.000 2.281
```

Output
E (eV per formula unit): -30.489
Symmetry: P4/mmm (123)

Entry 2:
The following is a PBE calculation of LiZrSiIr after structural relaxation, from the Alexandria database.

Cell and atoms, written as POSCAR:
```
LiZrSiIr
1.0
0.000 3.110 3.110
3.110 0.000 3.110
3.110 3.110 0.000
Li Zr Si Ir
1 1 1 1
Cartesian
0.000 0.000 0.000
4.665 4.665 4.665
1.555 1.555 1.555
3.110 3.110 3.110
```

Output
E (eV per formula unit): -27.939
Symmetry: F-43m (216)

Entry 3:
The following is a PBE calculation of LiSm4Ir after structural relaxation, from the Alexandria database.

Cell and atoms, written as POSCAR:
```
LiSm4Ir
1.0
-5.132 5.132 3.733
5.132 -5.132 3.733
5.132 5.132 -3.733
Li Sm Ir
2 8 2
Cartesian
0.000 0.000 0.000
0.000 5.132 1.867
5.132 -2.685 2.428
3.201 0.000 0.646
7.064 0.000 0.646
5.132 3.201 -1.221
0.000 1.932 2.513
2.447 5.132 0.561
2.685 0.000 4.294
5.132 2.685 2.428
5.132 0.000 2.724
0.000 0.000 4.591
```

Output
E (eV per formula unit): -29.780
Symmetry: I4_1md (109)
DFT formation energy (eV per atom): -0.021

Repeat the third record exactly.
The following is a PBE calculation of LiSm4Ir after structural relaxation, from the Alexandria database.

Cell and atoms, written as POSCAR:
```
LiSm4Ir
1.0
-5.132 5.132 3.733
5.132 -5.132 3.733
5.132 5.132 -3.733
Li Sm Ir
2 8 2
Cartesian
0.000 0.000 0.000
0.000 5.132 1.867
5.132 -2.685 2.428
3.201 0.000 0.646
7.064 0.000 0.646
5.132 3.201 -1.221
0.000 1.932 2.513
2.447 5.132 0.561
2.685 0.000 4.294
5.132 2.685 2.428
5.132 0.000 2.724
0.000 0.000 4.591
```

Output
E (eV per formula unit): -29.780
Symmetry: I4_1md (109)
DFT formation energy (eV per atom): -0.021